Version 1
A plane-wave DFT calculation with PBE was carried out for TlTcTe after structural relaxation.

Summary:
N(E_F)   1.89 states/eV/f.u.

CIF file:
```
data_TlTcTe
_symmetry_space_group_name_H-M 'P 3 m 1'
_symmetry_Int_Tables_number 156
_cell_length_a 3.4676
_cell_length_b 3.4676
_cell_length_c 6.7357
_cell_angle_alpha 90.00
_cell_angle_beta 90.00
_cell_angle_gamma 120.00
loop_
_symmetry_equiv_pos_as_xyz
'x,y,z'
'-y,x-y,z'
'-x+y,-x,z'
'-y,-x,z'
'-x+y,y,z'
'x,x-y,z'
loop_
_atom_site_label
_atom_site_type_symbol
_atom_site_fract_x
_atom_site_fract_y
_atom_site_fract_z
_atom_site_occupancy
Tl1 Tl 0.0000 0.0000 0.0000 1
Tc1 Tc 0.6667 0.3333 0.3192 1
Te1 Te 0.3333 0.6667 0.5694 1
```



Version 2
A plane-wave DFT calculation with PBE was carried out for TlTcTe after structural relaxation.

Summary:
N(E_F)   1.77 states/eV/f.u.

CIF file:
```
data_TlTcTe
_symmetry_space_group_name_H-M 'I 4 m m'
_symmetry_Int_Tables_number 107
_symmetry_space_group_name_Hall 'I 4 -2'
_cell_length_a 3.266
_cell_length_b 3.266
_cell_length_c 13.350
_cell_angle_alpha 90.00
_cell_angle_beta 90.00
_cell_angle_gamma 90.00
loop_
_atom_site_label
_atom_site_type_symbol
_atom_site_fract_x
_atom_site_fract_y
_atom_site_fract_z
_atom_site_occupancy
Tl1 Tl 0.000 0.000 0.000 1
Tc1 Tc 0.000 0.000 0.345 1
Te1 Te 0.000 0.000 0.740 1
```



The structure with the greatest stability is version 2.



Version 1
A plane-wave DFT calculation with PBE was carried out for TlTcTe after structural relaxation.

Summary:
N(E_F)   3.48 states/eV/f.u.

CIF file:
```
data_TlTcTe
_symmetry_space_group_name_H-M 'F -4 3 m'
_symmetry_Int_Tables_number 216
_symmetry_space_group_name_Hall 'F -4 2 3'
_cell_length_a 6.603
_cell_length_b 6.603
_cell_length_c 6.603
_cell_angle_alpha 90.00
_cell_angle_beta 90.00
_cell_angle_gamma 90.00
loop_
_atom_site_label
_atom_site_type_symbol
_atom_site_fract_x
_atom_site_fract_y
_atom_site_fract_z
_atom_site_occupancy
Tl1 Tl 0.000 0.000 0.000 1
Tc1 Tc 0.250 0.250 0.750 1
Te1 Te 0.000 0.000 0.500 1
```



Version 2
A plane-wave DFT calculation with PBE was carried out for TlTcTe after structural relaxation.

Summary:
N(E_F)   4.21 states/eV/f.u.

CIF file:
```
data_TlTcTe
_symmetry_space_group_name_H-M 'P -6 m 2'
_symmetry_Int_Tables_number 187
_symmetry_space_group_name_Hall 'P -6 2'
_cell_length_a 4.6354
_cell_length_b 4.6354
_cell_length_c 3.7013
_cell_angle_alpha 90.00
_cell_angle_beta 90.00
_cell_angle_gamma 120.00
loop_
_atom_site_label
_atom_site_type_symbol
_atom_site_fract_x
_atom_site_fract_y
_atom_site_fract_z
_atom_site_occupancy
Tl1 Tl 0.0000 0.0000 0.0000 1
Tc1 Tc 0.6667 0.3333 0.5000 1
Te1 Te 0.3333 0.6667 0.5000 1
```



The structure with the greatest stability is version 1.